The following is a DFT calculation (PBE with a Hubbard U) of crystalline Tl2CoRhO6 at its relaxed geometry.

Computed properties:
Fermi-level density of states in states/eV/f.u.: 3.323
Total energy in eV per atom: -5.22

Cell lengths 5.3740, 5.3740, 4.8082 Å; angles 90.00, 90.00, 90.00 degrees
Sites, in units of the cell vectors:
Tl (0.0000, 0.5000, 0.0000)
Tl (0.5000, 0.0000, 0.0000)
Co (0.0000, 0.0000, 0.5385)
Rh (0.5000, 0.5000, 0.5866)
O (0.0000, 0.0000, 0.1761)
O (0.2494, 0.2494, 0.6760)
O (0.2494, 0.7506, 0.6760)
O (0.5000, 0.5000, 0.1967)
O (0.7506, 0.2494, 0.6760)
O (0.7506, 0.7506, 0.6760)

=====

The following is a DFT calculation (PBE with a Hubbard U) of crystalline Tl3CoRh3O8 at its relaxed geometry.

Computed properties:
Fermi-level density of states in states/eV/f.u.: 9.247
Total energy in eV per atom: -5.61

Cell lengths 7.3396, 7.3396, 7.3396 Å; angles 50.22, 50.22, 50.22 degrees
Sites, in units of the cell vectors:
Tl (0.0000, 0.5000, 0.5000)
Tl (0.5000, 0.0000, 0.5000)
Tl (0.5000, 0.5000, 0.0000)
Co (0.5000, 0.5000, 0.5000)
Rh (0.0000, 0.0000, 0.5000)
Rh (0.0000, 0.5000, 0.0000)
Rh (0.5000, 0.0000, 0.0000)
O (0.2172, 0.2172, 0.2172)
O (0.2315, 0.7102, 0.7102)
O (0.2898, 0.2898, 0.7685)
O (0.2898, 0.7685, 0.2898)
O (0.7102, 0.2315, 0.7102)
O (0.7102, 0.7102, 0.2315)
O (0.7685, 0.2898, 0.2898)
O (0.7828, 0.7828, 0.7828)

=====

The following is a DFT calculation (PBE with a Hubbard U) of crystalline UCo2RhO8 at its relaxed geometry.

Computed properties:
Fermi-level density of states in states/eV/f.u.: 4.386
Total energy in eV per atom: -6.99

Cell lengths 5.8041, 5.8041, 5.8041 Å; angles 111.37, 111.37, 105.73 degrees
Sites, in units of the cell vectors:
U (0.0000, 0.0000, 0.0000)
Co (0.5000, 0.5000, 0.0000)
Co (0.7500, 0.2500, 0.5000)
Rh (0.2500, 0.7500, 0.5000)
O (0.2967, 0.0933, 0.7966)
O (0.2967, 0.5001, 0.2034)
O (0.3702, 0.0687, 0.3015)
O (0.4999, 0.7033, 0.7966)
O (0.7672, 0.0687, 0.6985)
O (0.9067, 0.7033, 0.2034)
O (0.9313, 0.2328, 0.3015)
O (0.9313, 0.6298, 0.6985)

=====

The following is a DFT calculation (PBE with a Hubbard U) of crystalline UCoRhO6 at its relaxed geometry.

Computed properties:
Fermi-level density of states in states/eV/f.u.: 3.453
Total energy in eV per atom: -7.73

Cell lengths 5.2310, 5.2310, 9.0571 Å; angles 90.00, 90.00, 120.00 degrees
Sites, in units of the cell vectors:
U (0.3333, 0.6667, 0.2500)
U (0.6667, 0.3333, 0.7500)
Co (0.0000, 0.0000, 0.0000)
Co (0.0000, 0.0000, 0.5000)
Rh (0.3333, 0.6667, 0.7500)
Rh (0.6667, 0.3333, 0.2500)
O (0.0092, 0.3402, 0.6271)
O (0.0092, 0.6690, 0.8729)
O (0.3310, 0.3402, 0.8729)
O (0.3310, 0.9908, 0.6271)
O (0.3402, 0.0092, 0.1271)
O (0.3402, 0.3310, 0.3729)
O (0.6598, 0.6690, 0.6271)
O (0.6598, 0.9908, 0.8729)
O (0.6690, 0.0092, 0.3729)
O (0.6690, 0.6598, 0.1271)
O (0.9908, 0.3310, 0.1271)
O (0.9908, 0.6598, 0.3729)

=====

The following is a DFT calculation (PBE with a Hubbard U) of crystalline VCoRh2O6 at its relaxed geometry.

Computed properties:
Total energy in eV per atom: -6.84

Cell lengths 5.0806, 5.0902, 5.5018 Å; angles 63.54, 63.34, 61.24 degrees
Sites, in units of the cell vectors:
V (0.0000, 0.0000, 0.0000)
Co (0.4975, 0.5005, 0.5184)
Rh (0.2014, 0.1990, 0.4200)
Rh (0.6992, 0.7020, 0.9250)
O (0.1037, 0.3966, 0.7229)
O (0.2813, 0.9235, 0.1930)
O (0.3994, 0.7997, 0.7140)
O (0.6168, 0.2858, 0.1977)
O (0.7971, 0.1117, 0.7105)
O (0.9215, 0.6139, 0.2098)

=====

The following is a DFT calculation (PBE with a Hubbard U) of crystalline VCo2RhO6 at its relaxed geometry.

Computed properties:
Total energy in eV per atom: -6.65

Cell lengths 5.0622, 5.0655, 5.3939 Å; angles 62.21, 62.02, 60.13 degrees
Sites, in units of the cell vectors:
V (0.0000, 0.0000, 0.0000)
Co (0.2831, 0.2811, 0.1394)
Co (0.7960, 0.8036, 0.5883)
Rh (0.4824, 0.4851, 0.5349)
O (0.0639, 0.3925, 0.8012)
O (0.1853, 0.8793, 0.3152)
O (0.3924, 0.7276, 0.7994)
O (0.6015, 0.1873, 0.3161)
O (0.7173, 0.0669, 0.8089)
O (0.8808, 0.6055, 0.3135)

=====

The following is a DFT calculation (PBE with a Hubbard U) of crystalline Y2CoRhO6 at its relaxed geometry.

Computed properties:
Fermi-level density of states in states/eV/f.u.: 6.775
Total energy in eV per atom: -7.71

Cell lengths 5.3108, 5.7568, 9.2969 Å; angles 90.00, 124.73, 90.00 degrees
Sites, in units of the cell vectors:
Y (0.2246, 0.0775, 0.2496)
Y (0.2246, 0.4225, 0.7496)
Y (0.7754, 0.5775, 0.2504)
Y (0.7754, 0.9225, 0.7504)
Co (0.0000, 0.0000, 0.5000)
Co (0.0000, 0.5000, 0.0000)
Rh (0.5000, 0.0000, 0.0000)
Rh (0.5000, 0.5000, 0.5000)
O (0.1257, 0.1893, 0.9412)
O (0.1257, 0.3107, 0.4412)
O (0.2566, 0.6975, 0.9376)
O (0.2566, 0.8025, 0.4376)
O (0.3728, 0.0458, 0.7504)
O (0.3728, 0.4542, 0.2504)
O (0.6272, 0.5458, 0.7496)
O (0.6272, 0.9542, 0.2496)
O (0.7434, 0.1975, 0.5624)
O (0.7434, 0.3025, 0.0624)
O (0.8743, 0.6893, 0.5588)
O (0.8743, 0.8107, 0.0588)

=====

The following is a DFT calculation (PBE with a Hubbard U) of crystalline ZnCoRhO4 at its relaxed geometry.

Computed properties:
Total energy in eV per atom: -5.82

Cell lengths 5.9518, 5.9518, 5.9518 Å; angles 121.01, 119.15, 89.87 degrees
Sites, in units of the cell vectors:
Zn (0.3771, 0.1271, 0.2500)
Zn (0.6229, 0.8729, 0.7500)
Co (0.0000, 0.0000, 0.5000)
Co (0.0000, 0.5000, 0.0000)
Rh (0.0000, 0.5000, 0.5000)
Rh (0.5000, 0.5000, 0.0000)
O (0.2109, 0.7440, 0.4669)
O (0.2229, 0.2560, 0.9669)
O (0.2294, 0.2450, 0.5156)
O (0.2294, 0.7139, 0.9844)
O (0.7706, 0.2861, 0.0156)
O (0.7706, 0.7550, 0.4844)
O (0.7771, 0.7440, 0.0331)
O (0.7891, 0.2560, 0.5331)

=====

Copy entry 6 word for word.
The following is a DFT calculation (PBE with a Hubbard U) of crystalline VCo2RhO6 at its relaxed geometry.

Computed properties:
Total energy in eV per atom: -6.65

Cell lengths 5.0622, 5.0655, 5.3939 Å; angles 62.21, 62.02, 60.13 degrees
Sites, in units of the cell vectors:
V (0.0000, 0.0000, 0.0000)
Co (0.2831, 0.2811, 0.1394)
Co (0.7960, 0.8036, 0.5883)
Rh (0.4824, 0.4851, 0.5349)
O (0.0639, 0.3925, 0.8012)
O (0.1853, 0.8793, 0.3152)
O (0.3924, 0.7276, 0.7994)
O (0.6015, 0.1873, 0.3161)
O (0.7173, 0.0669, 0.8089)
O (0.8808, 0.6055, 0.3135)